Entry 1:
BeV3H: relaxed, PBE.

The structure belongs to space group Pm-3m (No. 221); the cell edges are 4.078, 4.078 and 4.078 Å and the angles 90.00°, 90.00° and 90.00°. The inequivalent atoms are Be at (0.000, 0.000, 0.000), V at (0.000, 0.000, 0.500) and H at (0.500, 0.500, 0.500).

Its uncorrected energy is -5.502 eV per atom. For the volume, the calculation gives 13.56 Å³/atom. As for the crystal system: cubic. The calculation puts the energy relative to the lowest polymorph listed for this composition at 701 kJ/mol of formula units.


Entry 2:
VB3Ru: relaxed, PBE.

The structure belongs to space group Pm-3m (No. 221); the cell edges are 3.970, 3.970 and 3.970 Å and the angles 90.00°, 90.00° and 90.00°. The inequivalent atoms are V at (0.000, 0.000, 0.000), B at (0.000, 0.500, 0.500) and Ru at (0.500, 0.500, 0.500).

The formation enthalpy at 0 K comes out at 23.29 kcal/mol of atoms. Its uncorrected energy is -6.676 eV per atom. For the volume, the calculation gives 12.52 Å³/atom. As for the crystal system: cubic.


Entry 3:
PuSnSb2: relaxed, PBE.

The structure belongs to space group R-3m (No. 166, hexagonal axes); the cell edges are 5.3931, 5.3931 and 13.2328 Å and the angles 90.00°, 90.00° and 120.00°. The inequivalent atoms are Pu at (0.0000, 0.0000, 0.0000), Sn at (0.0000, 0.0000, 0.5000) and Sb at (0.0000, 0.0000, 0.2498).

Its uncorrected energy is -6.801 eV per atom. For the volume, the calculation gives 27.78 Å³/atom. As for the crystal system: trigonal. The calculation puts the energy relative to the lowest polymorph listed for this composition at 78 kJ/mol of formula units.


Entry 4:
CdReTeI2: relaxed, PBE.

The structure belongs to space group P4/mmm (No. 123); the cell edges are 5.669, 5.669 and 5.113 Å and the angles 90.00°, 90.00° and 90.00°. The inequivalent atoms are Cd at (0.000, 0.000, 0.000), Re at (0.500, 0.500, 0.500), Te at (0.500, 0.500, 0.000) and I at (0.000, 0.500, 0.500).

Its uncorrected energy is -3.357 eV per atom. For the volume, the calculation gives 32.86 Å³/atom. As for the crystal system: tetragonal. The calculation puts the energy relative to the lowest polymorph listed for this composition at 0 kJ/mol of formula units.


Entry 5:
La2MnCoN: relaxed, PBE.

The structure belongs to space group P4/mmm (No. 123); the cell edges are 5.195, 5.195 and 3.669 Å and the angles 90.00°, 90.00° and 90.00°. The inequivalent atoms are La at (0.000, 0.500, 0.000), Mn at (0.000, 0.000, 0.500), Co at (0.500, 0.500, 0.500) and N at (0.000, 0.000, 0.000).

Its uncorrected energy is -7.287 eV per atom. For the volume, the calculation gives 19.80 Å³/atom. As for the crystal system: tetragonal.


Entry 6:
Dy5Sn18Rh6: relaxed, PBE.

The structure belongs to space group F-43m (No. 216); the cell edges are 13.996, 13.996 and 13.996 Å and the angles 90.00°, 90.00° and 90.00°. The inequivalent atoms are Dy at (0.000, 0.000, 0.000), Dy at (0.130, 0.130, 0.370), Sn at (0.010, 0.175, 0.825), Sn at (0.087, 0.087, 0.587), Sn at (0.250, 0.250, 0.250), Sn at (0.250, 0.250, 0.750) and Rh at (0.000, 0.000, 0.255).

The formation enthalpy at 0 K comes out at -12.60 kcal/mol of atoms. Its uncorrected energy is -5.345 eV per atom. For the volume, the calculation gives 23.63 Å³/atom. As for the crystal system: cubic.


Entry 7:
HfCu: relaxed, PBE.

The structure belongs to space group Fm-3m (No. 225); the cell edges are 5.311, 5.311 and 5.311 Å and the angles 90.00°, 90.00° and 90.00°. The inequivalent atoms are Hf at (0.000, 0.000, 0.000) and Cu at (0.000, 0.000, 0.500).

The formation enthalpy at 0 K comes out at 6.64 kcal/mol of atoms. Its uncorrected energy is -6.737 eV per atom. For the volume, the calculation gives 18.73 Å³/atom. As for the crystal system: cubic.


Entry 8:
Hf5Ti5Sn: relaxed, PBE.

The structure belongs to space group P-6m2 (No. 187); the cell edges are 5.2075, 5.2075 and 9.5186 Å and the angles 90.00°, 90.00° and 120.00°. The inequivalent atoms are Hf at (0.0000, 0.0000, 0.0000), Hf at (0.3333, 0.6667, 0.3194), Hf at (0.6667, 0.3333, 0.1765), Ti at (0.0000, 0.0000, 0.2724), Ti at (0.3398, 0.1699, 0.5000) and Sn at (0.3333, 0.6667, 0.0000).

The formation enthalpy at 0 K comes out at 4.49 kcal/mol of atoms. Its uncorrected energy is -8.282 eV per atom. For the volume, the calculation gives 20.32 Å³/atom. As for the crystal system: hexagonal.


Entry 9:
KTiIn2N: relaxed, PBE.

The structure belongs to space group P4/mmm (No. 123); the cell edges are 5.731, 5.731 and 3.865 Å and the angles 90.00°, 90.00° and 90.00°. The inequivalent atoms are K at (0.000, 0.000, 0.000), Ti at (0.500, 0.500, 0.000), In at (0.000, 0.500, 0.500) and N at (0.500, 0.500, 0.500).

Its uncorrected energy is -4.382 eV per atom. For the volume, the calculation gives 25.39 Å³/atom. As for the crystal system: tetragonal.


Entry 10:
La3PrSn2S: relaxed, PBE.

The structure belongs to space group Immm (No. 71); the cell edges are 5.340, 5.351 and 16.829 Å and the angles 90.00°, 90.00° and 90.00°. The inequivalent atoms are La at (0.000, 0.000, 0.000), La at (0.000, 0.500, 0.172), Pr at (0.000, 0.000, 0.500), Sn at (0.000, 0.500, 0.366) and S at (0.000, 0.500, 0.000).

Its uncorrected energy is -5.460 eV per atom. For the volume, the calculation gives 34.35 Å³/atom. As for the crystal system: orthorhombic.


Entry 11:
Pa2ReRhN5: relaxed, PBE.

The structure belongs to space group Cmc2_1 (No. 36); the cell edges are 3.381, 12.926 and 10.067 Å and the angles 90.00°, 90.00° and 90.00°. The inequivalent atoms are Pa at (0.000, 0.097, 0.000), Pa at (0.000, 0.152, 0.631), Re at (0.000, 0.207, 0.355), Rh at (0.000, 0.470, 0.767), N at (0.000, 0.062, 0.392), N at (0.000, 0.276, 0.971), N at (0.000, 0.316, 0.695), N at (0.000, 0.369, 0.317) and N at (0.000, 0.484, 0.077).

Its uncorrected energy is -9.664 eV per atom. For the volume, the calculation gives 12.22 Å³/atom. As for the crystal system: orthorhombic.


Entry 12:
TbNd3Sn12: relaxed, PBE.

The structure belongs to space group P4/mmm (No. 123); the cell edges are 4.781, 4.781 and 18.864 Å and the angles 90.00°, 90.00° and 90.00°. The inequivalent atoms are Tb at (0.000, 0.000, 0.000), Nd at (0.000, 0.000, 0.248), Nd at (0.000, 0.000, 0.500), Sn at (0.000, 0.500, 0.122), Sn at (0.000, 0.500, 0.374), Sn at (0.500, 0.500, 0.000), Sn at (0.500, 0.500, 0.248) and Sn at (0.500, 0.500, 0.500).

The formation enthalpy at 0 K comes out at -11.21 kcal/mol of atoms. Its uncorrected energy is -4.672 eV per atom. For the volume, the calculation gives 26.94 Å³/atom. As for the crystal system: tetragonal.